(1)
A plane-wave DFT calculation with GGA-PBE was carried out for crystalline Cu2TeBr at its relaxed geometry.

Lattice parameters (Å, degrees): 4.334 5.887 7.588 90.00 90.00 90.00
Space group Cmm2 (No. 35)
Unique sites:
Cu1 0.000 0.000 0.000 x2
Cu2 0.000 0.500 0.165 x2
Te1 0.000 0.500 0.823 x2
Br1 0.000 0.000 0.338 x2

Properties
- energy relative to the lowest polymorph listed for this composition (kcal/mol of atoms) = 2.47
- raw formation energy (meV/atom) = -58

(2)
A plane-wave DFT calculation with GGA-PBE was carried out for crystalline CuTeBr2 at its relaxed geometry.

Lattice parameters (Å, degrees): 11.724 3.492 6.528 90.00 101.05 90.00
Space group C2/m (No. 12)
Unique sites:
Cu1 0.000 0.000 0.000 x2
Te1 0.000 0.500 0.500 x2
Br1 0.133 0.500 0.190 x4

Properties
- raw formation energy (meV/atom) = -40

(3)
A plane-wave DFT calculation with GGA-PBE was carried out for crystalline Cu2TeBr at its relaxed geometry.

Lattice parameters (Å, degrees): 3.606 7.076 7.512 90.00 90.00 90.00
Space group Cmmm (No. 65)
Unique sites:
Cu1 0.000 0.000 0.249 x4
Te1 0.000 0.500 0.500 x2
Br1 0.000 0.500 0.000 x2

Properties
- energy relative to the lowest polymorph listed for this composition (kcal/mol of atoms) = 7.02
- raw formation energy (meV/atom) = 139

(4)
A plane-wave DFT calculation with GGA-PBE was carried out for crystalline Cu2TeBr6 at its relaxed geometry.

Lattice parameters (Å, degrees): 13.992 4.183 10.602 90.00 98.34 90.00
Space group C2/m (No. 12)
Unique sites:
Cu1 0.202 0.000 0.204 x4
Te1 0.000 0.500 0.500 x2
Br1 0.111 0.000 0.395 x4
Br2 0.122 0.500 0.724 x4
Br3 0.152 0.500 0.111 x4

Properties
- energy relative to the lowest polymorph listed for this composition (kcal/mol of atoms) = 0.69
- raw formation energy (meV/atom) = -249

(5)
A plane-wave DFT calculation with GGA-PBE was carried out for crystalline CuTeBr2 at its relaxed geometry.

Lattice parameters (Å, degrees): 3.363 8.184 9.078 90.00 90.00 90.00
Space group Immm (No. 71)
Unique sites:
Cu1 0.000 0.000 0.000 x2
Te1 0.000 0.000 0.500 x2
Br1 0.000 0.500 0.309 x4

Properties
- raw formation energy (meV/atom) = 74

(6)
A plane-wave DFT calculation with GGA-PBE was carried out for crystalline Cu4TeBr at its relaxed geometry.

Lattice parameters (Å, degrees): 7.366 7.366 7.366 90.00 90.00 90.00
Space group F-43m (No. 216)
Unique sites:
Cu1 0.125 0.125 0.125 x16
Te1 0.250 0.250 0.750 x4
Br1 0.000 0.000 0.500 x4

Properties
- raw formation energy (meV/atom) = 335

(7)
A plane-wave DFT calculation with GGA-PBE was carried out for crystalline CuTeBr2 at its relaxed geometry.

Lattice parameters (Å, degrees): 3.757 3.757 8.420 90.00 90.00 90.00
Space group P4mm (No. 99)
Unique sites:
Cu1 0.000 0.000 0.000 x1
Te1 0.500 0.500 0.920 x1
Br1 0.000 0.000 0.272 x1
Br2 0.500 0.500 0.620 x1

Properties
- raw formation energy (meV/atom) = -91

(8)
A plane-wave DFT calculation with GGA-PBE was carried out for crystalline CuTeBr2 at its relaxed geometry.

Lattice parameters (Å, degrees): 7.219 7.219 7.219 90.00 90.00 90.00
Space group F-43m (No. 216)
Unique sites:
Cu1 0.000 0.000 0.000 x4
Te1 0.250 0.250 0.250 x4
Br1 0.000 0.000 0.500 x4
Br2 0.250 0.250 0.750 x4

Properties
- raw formation energy (meV/atom) = 538

(9)
A plane-wave DFT calculation with GGA-PBE was carried out for crystalline CuTeBr2 at its relaxed geometry.

Lattice parameters (Å, degrees): 7.048 7.048 9.632 90.00 90.00 90.00
Space group I-42d (No. 122)
Unique sites:
Cu1 0.000 0.000 0.000 x4
Te1 0.000 0.000 0.500 x4
Br1 0.167 0.250 0.125 x8

Properties
- raw formation energy (meV/atom) = 210

(10)
A plane-wave DFT calculation with GGA-PBE was carried out for crystalline CuTeBr2 at its relaxed geometry.

Lattice parameters (Å, degrees): 7.546 7.609 3.393 90.00 90.00 90.00
Space group Cmmm (No. 65)
Unique sites:
Cu1 0.000 0.000 0.000 x2
Te1 0.000 0.500 0.000 x2
Br1 0.250 0.250 0.500 x4

Properties
- raw formation energy (meV/atom) = 463

(11)
A plane-wave DFT calculation with GGA-PBE was carried out for crystalline Cu2TeBr at its relaxed geometry.

Lattice parameters (Å, degrees): 6.887 6.887 6.887 90.00 90.00 90.00
Space group F-43m (No. 216)
Unique sites:
Cu1 0.000 0.000 0.000 x4
Cu2 0.250 0.250 0.250 x4
Te1 0.000 0.000 0.500 x4
Br1 0.250 0.250 0.750 x4

Properties
- energy relative to the lowest polymorph listed for this composition (kcal/mol of atoms) = 18.81
- raw formation energy (meV/atom) = 650

(12)
A plane-wave DFT calculation with GGA-PBE was carried out for crystalline CuTeBr2 at its relaxed geometry.

Lattice parameters (Å, degrees): 3.7996 3.7996 25.1679 90.00 90.00 120.00
Space group R3m (No. 160, hexagonal axes)
Unique sites:
Cu1 0.0000 0.0000 0.0000 x3
Te1 0.0000 0.0000 0.7300 x3
Br1 0.0000 0.0000 0.2785 x3
Br2 0.0000 0.0000 0.4829 x3

Properties
- raw formation energy (meV/atom) = -51